<P>
A plane-wave DFT calculation with PBE was carried out for an optimized crystal structure of RbAl.

Calculated values
- ρ (g cm⁻³) = 1.04

The structure in POSCAR format:
```
RbAl
1.0
10.2442 0.0000 0.0000
0.0000 10.2442 0.0000
0.0000 0.0000 10.2442
Al Rb
6 6
Cartesian
2.5610 0.0000 5.1221
5.1221 7.6832 0.0000
0.0000 5.1221 2.5610
5.1221 2.5610 0.0000
7.6832 0.0000 5.1221
0.0000 5.1221 7.6832
2.5610 5.1221 0.0000
0.0000 7.6832 5.1221
5.1221 0.0000 7.6832
5.1221 0.0000 2.5610
7.6832 5.1221 0.0000
0.0000 2.5610 5.1221
```

<Q>
A plane-wave DFT calculation with PBE was carried out for an optimized crystal structure of RbAl.

Calculated values
- ρ (g cm⁻³) = 1.68

The structure in POSCAR format:
```
RbAl
1.0
4.7047 0.0000 0.0000
0.0000 9.9191 0.0000
0.0000 0.0000 9.5028
Al Rb
4 4
Cartesian
0.0000 2.4798 1.8972
2.3524 2.4798 2.8542
2.3524 7.4393 6.6486
0.0000 7.4393 7.6055
2.3524 4.9596 0.0000
2.3524 0.0000 0.0000
0.0000 4.9596 4.7514
0.0000 0.0000 4.7514
```

Preferred: <Q>; penalty for the next structure: 914 meV/atom.

<P>
A plane-wave DFT calculation with PBE was carried out for an optimized crystal structure of RbAlRe3.

Calculated values
- ρ (g cm⁻³) = 10.74

The structure in POSCAR format:
```
RbAlRe3
1.0
-0.2897 -4.6641 -0.4991
3.9141 -0.5159 2.5495
-2.5850 -0.2585 3.9163
Rb Re Al
1 3 1
Cartesian
0.0000 0.0000 0.0000
1.9571 -0.2580 1.2748
-1.2925 -0.1293 1.9582
-0.1448 -2.3320 -0.2496
0.5197 -2.7193 2.9834
```

<Q>
A plane-wave DFT calculation with PBE was carried out for an optimized crystal structure of RbAlRe3.

Calculated values
- ρ (g cm⁻³) = 10.63

The structure in POSCAR format:
```
RbAlRe3
1.0
-1.0834 -2.9934 -3.4779
3.7763 1.4485 -2.4231
2.6069 -3.3424 2.0647
Re Al Rb
3 1 1
Cartesian
1.8882 0.7243 -1.2115
1.3034 -1.6712 1.0324
-0.5417 -1.4967 -1.7390
0.0000 0.0000 0.0000
2.6499 -2.4436 -1.9181
```

Preferred: <Q>; penalty for the next structure: 1630 meV/atom.

<P>
A plane-wave DFT calculation with PBE was carried out for an optimized crystal structure of RbAl3Re.

Calculated values
- ρ (g cm⁻³) = 3.65

The structure in POSCAR format:
```
RbAl3Re
1.0
5.4334 0.0000 0.0000
0.0000 5.4334 0.0000
0.0000 0.0000 5.4334
Al Rb Re
3 1 1
Cartesian
0.0000 0.0000 2.7167
2.7167 0.0000 0.0000
0.0000 2.7167 0.0000
0.0000 0.0000 0.0000
2.7167 2.7167 2.7167
```

<Q>
A plane-wave DFT calculation with PBE was carried out for an optimized crystal structure of RbAl3Re.

Calculated values
- ρ (g cm⁻³) = 4.81

The structure in POSCAR format:
```
RbAl3Re
1.0
4.9554 0.0000 0.0000
0.0000 4.9554 0.0000
0.0000 0.0000 4.9554
Al Rb Re
3 1 1
Cartesian
2.4777 0.0000 0.0000
0.0000 0.0000 2.4777
0.0000 2.4777 0.0000
2.4777 2.4777 2.4777
0.0000 0.0000 0.0000
```

Preferred: <Q>; penalty for the next structure: 2652 meV/atom.

<P>
A plane-wave DFT calculation with PBE was carried out for an optimized crystal structure of RbAlS3.

Calculated values
- ρ (g cm⁻³) = 2.36

The structure in POSCAR format:
```
RbAlS3
1.0
6.3427 -0.2999 -1.3440
-2.2251 6.3366 -3.0971
-0.2949 0.1699 7.3878
Al S Rb
2 6 2
Cartesian
3.9976 4.4532 2.2301
0.7337 4.8989 2.3993
-1.2802 4.2098 1.6698
2.1692 3.1717 2.5079
-0.5953 4.4315 -2.0625
3.8511 0.2079 4.1918
5.6132 0.3367 5.3523
0.7907 5.7616 -2.9445
-0.2646 0.7689 2.8378
2.2832 2.6112 -1.2215
```

<Q>
A plane-wave DFT calculation with PBE was carried out for an optimized crystal structure of RbAlS3.

Calculated values
- ρ (g cm⁻³) = 1.67

The structure in POSCAR format:
```
RbAlS3
1.0
5.9245 0.0000 0.0000
0.0000 5.9245 0.0000
0.0000 0.0000 5.9245
Rb S Al
1 3 1
Cartesian
0.0000 0.0000 0.0000
0.0000 0.0000 2.9622
2.9622 0.0000 0.0000
0.0000 2.9622 0.0000
2.9622 2.9622 2.9622
```

<R>
A plane-wave DFT calculation with PBE was carried out for an optimized crystal structure of RbAlS3.

Calculated values
- ρ (g cm⁻³) = 3.11

The structure in POSCAR format:
```
RbAlS3
1.0
4.8112 0.0000 0.0000
0.0000 4.8112 0.0000
0.0000 0.0000 4.8112
S Al Rb
3 1 1
Cartesian
0.0000 2.4056 0.0000
0.0000 0.0000 2.4056
2.4056 0.0000 0.0000
0.0000 0.0000 0.0000
2.4056 2.4056 2.4056
```

Preferred: <P>; penalty for the next structure: 493 meV/atom.